[1]
Here is an optimized crystal structure of NaTlPdPb from the Open Quantum Materials Database. Energies are from PBE.

The value obtained for the energy is -26.9 eV/cell. The calculation puts the excess energy over the best structure of this formula in the dataset at 1 meV/atom.

CIF file:
```
data_NaTlPdPb
_chemical_formula_sum 'Na2 Tl2 Pd2 Pb2'
_cell_length_a 4.3237
_cell_length_b 5.9278
_cell_length_c 8.3254
_cell_angle_alpha 90.24
_cell_angle_beta 90.00
_cell_angle_gamma 111.35
_space_group_name_H-M_alt 'P -1'
_space_group_IT_number 2
loop_
_space_group_symop_operation_xyz
'x,y,z'
'-x,-y,-z'
loop_
_atom_site_label
_atom_site_fract_x
_atom_site_fract_y
_atom_site_fract_z
_atom_site_occupancy
Na1 0.0666 0.1320 0.2553 1
Tl1 0.3592 0.7188 0.4575 1
Pd1 0.2181 0.4360 0.7523 1
Pb1 0.3581 0.7171 0.0514 1
```

[2]
Here is an optimized crystal structure of Gd2YIn3Cu2Pt from the Open Quantum Materials Database. Energies are from PBE.

Its total magnetic moment is 0.00 μB/f.u. The value obtained for the energy is -85.4 eV/cell.

CIF file:
```
data_Gd2YIn3Cu2Pt
_chemical_formula_sum 'Gd4 Y2 In6 Cu4 Pt2'
_cell_length_a 3.9979
_cell_length_b 13.0778
_cell_length_c 7.5494
_cell_angle_alpha 90.00
_cell_angle_beta 90.00
_cell_angle_gamma 90.00
_space_group_name_H-M_alt 'A m m 2'
_space_group_IT_number 38
loop_
_space_group_symop_operation_xyz
'x,y,z'
'-x,-y,z'
'-x,y,z'
'x,-y,z'
'x,y+1/2,z+1/2'
'-x,-y+1/2,z+1/2'
'-x,y+1/2,z+1/2'
'x,-y+1/2,z+1/2'
loop_
_atom_site_label
_atom_site_fract_x
_atom_site_fract_y
_atom_site_fract_z
_atom_site_occupancy
Gd1 0.0000 0.2021 0.0000 1
Y1 0.0000 0.0000 0.6065 1
In1 0.5000 0.0000 0.9393 1
In2 0.5000 0.1310 0.3344 1
Cu1 0.5000 0.1664 0.7027 1
Pt1 0.0000 0.0000 0.2027 1
```

Please write out number 2 again, unchanged.
Here is an optimized crystal structure of Gd2YIn3Cu2Pt from the Open Quantum Materials Database. Energies are from PBE.

Its total magnetic moment is 0.00 μB/f.u. The value obtained for the energy is -85.4 eV/cell.

CIF file:
```
data_Gd2YIn3Cu2Pt
_chemical_formula_sum 'Gd4 Y2 In6 Cu4 Pt2'
_cell_length_a 3.9979
_cell_length_b 13.0778
_cell_length_c 7.5494
_cell_angle_alpha 90.00
_cell_angle_beta 90.00
_cell_angle_gamma 90.00
_space_group_name_H-M_alt 'A m m 2'
_space_group_IT_number 38
loop_
_space_group_symop_operation_xyz
'x,y,z'
'-x,-y,z'
'-x,y,z'
'x,-y,z'
'x,y+1/2,z+1/2'
'-x,-y+1/2,z+1/2'
'-x,y+1/2,z+1/2'
'x,-y+1/2,z+1/2'
loop_
_atom_site_label
_atom_site_fract_x
_atom_site_fract_y
_atom_site_fract_z
_atom_site_occupancy
Gd1 0.0000 0.2021 0.0000 1
Y1 0.0000 0.0000 0.6065 1
In1 0.5000 0.0000 0.9393 1
In2 0.5000 0.1310 0.3344 1
Cu1 0.5000 0.1664 0.7027 1
Pt1 0.0000 0.0000 0.2027 1
```